This record from Alexandria describes a relaxed structure of Rb2BiPb. The functional is GGA-PBE.

Unit cell a=4.7657 b=7.0906 c=7.0907 alpha=61.93 beta=70.36 gamma=70.36
Last column: nearest neighbours and their distance in Å.
Fractional coordinates of all 4 atoms:
1 Bi 0.2500 0.2080 0.2920  2 Pb 3.07
2 Pb 0.7500 0.9435 0.5565  2 Bi 3.07
3 Rb 0.0531 0.8712 0.0226  3 Pb 3.79, 3 Bi 4.05-4.15
4 Rb 0.4469 0.4774 0.6288  3 Pb 3.79, 3 Bi 4.05-4.15

The value obtained for the uncorrected energy is -2.592 eV/atom. For the density of states at the Fermi level, the calculation gives 3.07 states/eV/cell. As for the energy above the lowest structure with this stoichiometry: 0.000 eV/atom.

This record from Alexandria describes a relaxed structure of RbBi2Pb2. The functional is GGA-PBE.

Unit cell a=5.3851 b=5.3851 c=8.0069 alpha=70.35 beta=70.35 gamma=90.00
Last column: nearest neighbours and their distance in Å.
Fractional coordinates of all 5 atoms:
1 Bi 0.6172 0.6172 0.7655  4 Pb 3.28, 1 Bi 3.30
2 Bi 0.3828 0.3828 0.2345  4 Pb 3.28, 1 Bi 3.30
3 Rb 0.0000 0.0000 0.0000  8 Bi 4.15, 8 Pb 4.43
4 Pb 0.7500 0.2500 0.5000  4 Bi 3.28
5 Pb 0.2500 0.7500 0.5000  4 Bi 3.28

The value obtained for the uncorrected energy is -3.405 eV/atom. For the density of states at the Fermi level, the calculation gives 3.10 states/eV/cell. As for the energy above the lowest structure with this stoichiometry: 0.000 eV/atom.

This record from Alexandria describes a relaxed structure of Rb2Bi3Pb5. The functional is GGA-PBE.

Unit cell a=7.7246 b=10.9466 c=10.9466 alpha=77.76 beta=69.34 gamma=69.34
Last column: nearest neighbours and their distance in Å.
Fractional coordinates of all 20 atoms:
1 Bi 0.1235 0.2398 0.5131  5 Pb 3.24-3.28
2 Bi 0.6235 0.5131 0.2398  5 Pb 3.24-3.28
3 Bi 0.8765 0.7602 0.4869  5 Pb 3.24-3.28
4 Bi 0.2500 0.0000 0.0000  4 Pb 3.24
5 Bi 0.3765 0.4869 0.7602  5 Pb 3.24-3.28
6 Bi 0.7500 0.0000 0.0000  4 Pb 3.24
7 Rb 0.8761 0.3695 0.8783  6 Bi 4.09-4.32, 10 Pb 4.12-4.41
8 Rb 0.1239 0.6305 0.1217  6 Bi 4.09-4.32, 10 Pb 4.12-4.41
9 Rb 0.3761 0.8783 0.3695  6 Bi 4.09-4.32, 10 Pb 4.12-4.41
10 Rb 0.6239 0.1217 0.6305  6 Bi 4.09-4.32, 10 Pb 4.12-4.41
11 Pb 0.3742 0.2536 0.9979  3 Bi 3.24, 2 Pb 3.27
12 Pb 0.0050 0.7450 0.7450  2 Bi 3.27, 2 Pb 3.27
13 Pb 0.7500 0.5000 0.5000  4 Bi 3.28
14 Pb 0.2500 0.5000 0.5000  4 Bi 3.28
15 Pb 0.6258 0.7464 0.0021  3 Bi 3.24, 2 Pb 3.27
16 Pb 0.9950 0.2550 0.2550  2 Bi 3.27, 2 Pb 3.27
17 Pb 0.4950 0.2550 0.2550  2 Bi 3.27, 2 Pb 3.27
18 Pb 0.8742 0.9979 0.2536  3 Bi 3.24, 2 Pb 3.27
19 Pb 0.1258 0.0021 0.7464  3 Bi 3.24, 2 Pb 3.27
20 Pb 0.5050 0.7450 0.7450  2 Bi 3.27, 2 Pb 3.27

The value obtained for the uncorrected energy is -3.354 eV/atom. For the density of states at the Fermi level, the calculation gives 10.62 states/eV/cell.

This record from Alexandria describes a relaxed structure of RbBi2Pb. The functional is GGA-PBE.

Unit cell a=4.4839 b=4.4839 c=7.7885 alpha=90.00 beta=90.00 gamma=90.00
Last column: nearest neighbours and their distance in Å.
Fractional coordinates of all 4 atoms:
1 Bi 0.0000 0.0000 0.1895  1 Bi 2.95
2 Bi 0.0000 0.0000 0.8105  1 Bi 2.95
3 Rb 0.5000 0.5000 0.5000  2 Pb 3.89, 8 Bi 3.99
4 Pb 0.5000 0.5000 0.0000  8 Bi 3.50, 2 Rb 3.89

The value obtained for the uncorrected energy is -3.256 eV/atom. For the density of states at the Fermi level, the calculation gives 0.81 states/eV/cell.

This record from Alexandria describes a relaxed structure of Rb3Bi3Pb2. The functional is GGA-PBE.

Unit cell a=5.8116 b=7.3197 c=17.3618 alpha=90.00 beta=90.00 gamma=113.39
Last column: nearest neighbours and their distance in Å.
Fractional coordinates of all 16 atoms:
1 Rb 0.0769 0.1538 0.6178  6 Bi 3.90-4.06, 4 Pb 4.00-4.04
2 Rb 0.9231 0.8462 0.3822  6 Bi 3.90-4.06, 4 Pb 4.00-4.04
3 Rb 0.6393 0.2786 0.2500  5 Bi 3.71-4.14
4 Rb 0.3607 0.7214 0.7500  5 Bi 3.71-4.14
5 Rb 0.0769 0.1538 0.8822  6 Bi 3.90-4.06, 4 Pb 4.00-4.04
6 Rb 0.9231 0.8462 0.1178  6 Bi 3.90-4.06, 4 Pb 4.00-4.04
7 Bi 0.6068 0.2136 0.0379  1 Bi 3.16, 3 Pb 3.20-3.38
8 Bi 0.3932 0.7864 0.9621  1 Bi 3.16, 3 Pb 3.20-3.38
9 Bi 0.6688 0.3376 0.7500  2 Pb 3.21
10 Bi 0.3932 0.7864 0.5379  1 Bi 3.16, 3 Pb 3.20-3.38
11 Bi 0.3312 0.6624 0.2500  2 Pb 3.21
12 Bi 0.6068 0.2136 0.4621  1 Bi 3.16, 3 Pb 3.20-3.38
13 Pb 0.2181 0.4362 0.4126  4 Bi 3.20-3.38
14 Pb 0.2181 0.4362 0.0874  4 Bi 3.20-3.38
15 Pb 0.7819 0.5638 0.5874  4 Bi 3.20-3.38
16 Pb 0.7819 0.5638 0.9126  4 Bi 3.20-3.38

The value obtained for the uncorrected energy is -3.024 eV/atom. For the density of states at the Fermi level, the calculation gives 3.11 states/eV/cell. As for the energy above the lowest structure with this stoichiometry: 0.000 eV/atom.

This record from Alexandria describes a relaxed structure of Rb3Bi4Pb2. The functional is GGA-PBE.

Unit cell a=5.4186 b=7.4118 c=10.6773 alpha=76.40 beta=89.88 gamma=68.45
Last column: nearest neighbours and their distance in Å.
Fractional coordinates of all 9 atoms:
1 Rb 0.0000 0.0000 0.0000  8 Bi 3.97-4.39
2 Rb 0.6088 0.7820 0.7031  7 Bi 3.81-3.99, 4 Pb 3.97-4.18
3 Rb 0.3912 0.2180 0.2969  7 Bi 3.81-3.99, 4 Pb 3.97-4.18
4 Bi 0.7288 0.5421 0.0662  2 Bi 3.17-3.18, 1 Pb 3.23
5 Bi 0.0918 0.8157 0.4249  3 Pb 3.24-3.25, 1 Bi 3.33
6 Bi 0.2712 0.4579 0.9338  2 Bi 3.17-3.18, 1 Pb 3.23
7 Bi 0.9082 0.1843 0.5751  3 Pb 3.24-3.25, 1 Bi 3.33
8 Pb 0.3036 0.3924 0.6444  4 Bi 3.23-3.25
9 Pb 0.6964 0.6076 0.3556  4 Bi 3.23-3.25

The value obtained for the uncorrected energy is -3.135 eV/atom. For the density of states at the Fermi level, the calculation gives 3.90 states/eV/cell. As for the energy above the lowest structure with this stoichiometry: 0.000 eV/atom.

This record from Alexandria describes a relaxed structure of Rb3Bi2Pb. The functional is GGA-PBE.

Unit cell a=9.0358 b=7.8049 c=10.3448 alpha=112.16 beta=115.90 gamma=90.00
Last column: nearest neighbours and their distance in Å.
Fractional coordinates of all 12 atoms:
1 Bi 0.6930 0.8952 0.7904  2 Pb 3.21
2 Bi 0.9026 0.6048 0.2096  2 Pb 3.21
3 Bi 0.3070 0.1048 0.2096  2 Pb 3.21
4 Bi 0.0974 0.3952 0.7904  2 Pb 3.21
5 Pb 0.0000 0.7500 0.0000  4 Bi 3.21
6 Pb 0.0000 0.2500 0.0000  4 Bi 3.21
7 Rb 0.5000 0.7500 0.0000  4 Bi 3.77, 2 Rb 3.90
8 Rb 0.0124 0.8225 0.6449  4 Bi 3.75-4.09, 2 Pb 3.97
9 Rb 0.6326 0.3225 0.6449  4 Bi 3.75-4.09, 2 Pb 3.97
10 Rb 0.9876 0.1775 0.3551  4 Bi 3.75-4.09, 2 Pb 3.97
11 Rb 0.5000 0.2500 0.0000  4 Bi 3.77, 2 Rb 3.90
12 Rb 0.3674 0.6775 0.3551  4 Bi 3.75-4.09, 2 Pb 3.97

The value obtained for the uncorrected energy is -2.682 eV/atom. For the density of states at the Fermi level, the calculation gives 6.94 states/eV/cell. As for the energy above the lowest structure with this stoichiometry: 0.000 eV/atom.

This record from Alexandria describes a relaxed structure of Rb2BiPb2. The functional is GGA-PBE.

Unit cell a=5.1255 b=5.1255 c=8.7780 alpha=73.03 beta=73.03 gamma=90.00
Last column: nearest neighbours and their distance in Å.
Fractional coordinates of all 5 atoms:
1 Pb 0.5867 0.5867 0.8266  1 Pb 2.77
2 Pb 0.4133 0.4133 0.1734  1 Pb 2.77
3 Bi 0.0000 0.0000 0.0000  8 Pb 3.88
4 Rb 0.2500 0.7500 0.5000  4 Rb 3.62, 4 Pb 3.66
5 Rb 0.7500 0.2500 0.5000  4 Rb 3.62, 4 Pb 3.66

The value obtained for the uncorrected energy is -2.465 eV/atom. For the density of states at the Fermi level, the calculation gives 4.47 states/eV/cell. As for the energy above the lowest structure with this stoichiometry: 0.362 eV/atom.

no.,energy of formation from the pure elements (meV per atom)
1,-211
2,-175
3,-142
4,-147
5,-278
6,-264
7,-287
8,181